The following is a DFT calculation (PBE) of a geometry-optimized Pu8TlRh6 structure.

The structure in extended XYZ format:
```
15
Lattice="3.099 1.789 8.845 -3.099 1.789 8.845 0.000 -3.578 8.845" Properties=species:S:1:pos:R:3 pbc="T T T"
Pu -1.069 -1.782 9.456
Pu 0.000 0.000 5.008
Pu -2.078 0.035 17.079
Pu -1.009 1.817 9.456
Pu 1.009 -1.817 17.079
Pu 2.078 -0.035 9.456
Pu 0.000 0.000 21.527
Pu 1.069 1.782 17.079
Tl 0.000 0.000 13.267
Rh -2.123 0.434 11.403
Rh -1.437 -1.622 15.132
Rh 0.686 -2.056 11.403
Rh -0.686 2.056 15.132
Rh 1.437 1.622 11.403
Rh 2.123 -0.434 15.132
```

Computed properties:
The value obtained for the energy of formation is -76.8 meV per atom. The density of states at the Fermi level is 41.16 states/eV per cell.

The following is a DFT calculation (PBE) of a geometry-optimized NdYCF structure.

The structure in extended XYZ format:
```
4
Lattice="1.791 1.034 6.462 -1.791 1.034 6.462 0.000 -2.068 6.462" Properties=species:S:1:pos:R:3 pbc="T T T"
Nd 0.000 0.000 0.000
Y 0.000 0.000 3.741
C 0.000 0.000 11.459
F 0.000 0.000 14.992
```

Computed properties:
The calculation puts the formation energy from raw total energies at -1449 meV/atom. The density of states at the Fermi level is 1.96 states/eV per cell.

The following is a DFT calculation (PBE) of a geometry-optimized LiPmGaAu structure.

The structure in extended XYZ format:
```
4
Lattice="-2.387 2.389 3.372 2.387 -2.389 3.372 2.387 2.389 -3.372" Properties=species:S:1:pos:R:3 pbc="T T T"
Li 0.000 0.000 0.000
Pm 0.000 2.389 1.684
Ga 0.000 0.000 3.368
Au 2.387 0.000 1.683
```

Computed properties:
The value obtained for the energy of formation is -541.7 meV per atom. The density of states at the Fermi level is 0.75 states/eV per cell.

The following is a DFT calculation (PBE) of a geometry-optimized BaLaCl2 structure.

The structure in extended XYZ format:
```
4
Lattice="0.000 3.960 3.960 3.960 0.000 3.960 3.960 3.960 0.000" Properties=species:S:1:pos:R:3 pbc="T T T"
Ba 0.000 0.000 0.000
La 5.940 5.940 5.940
Cl 1.980 1.980 1.980
Cl 3.960 3.960 3.960
```

Computed properties:
The calculation puts the formation energy from raw total energies at -659 meV/atom. The density of states at the Fermi level is 6.09 states/eV per cell.

The following is a DFT calculation (PBE) of a geometry-optimized ScAlCu2 structure.

The structure in extended XYZ format:
```
4
Lattice="4.272 0.000 0.000 0.000 4.272 0.000 0.000 0.000 3.379" Properties=species:S:1:pos:R:3 pbc="T T T"
Sc 0.000 0.000 0.000
Al 2.136 2.136 0.000
Cu 0.000 2.136 1.689
Cu 2.136 0.000 1.689
```

Computed properties:
The value obtained for the energy of formation is -250.8 meV per atom. The density of states at the Fermi level is 2.14 states/eV per cell.

The following is a DFT calculation (PBE) of a geometry-optimized PuNbRe structure.

The structure in extended XYZ format:
```
6
Lattice="0.000 4.350 4.660 2.886 0.000 4.660 2.886 4.350 0.000" Properties=species:S:1:pos:R:3 pbc="T T T"
Pu 2.886 4.350 1.410
Pu 2.886 4.350 7.910
Nb 2.886 2.933 4.660
Nb 2.886 5.768 4.660
Re 1.443 2.175 2.330
Re 4.329 6.526 6.990
```

Computed properties:
The value obtained for the energy of formation is 185.6 meV per atom. The density of states at the Fermi level is 12.18 states/eV per cell.

The following is a DFT calculation (PBE) of a geometry-optimized TmSnBi structure.

The structure in extended XYZ format:
```
6
Lattice="5.255 -2.105 0.000 5.255 2.105 0.000 -0.502 0.000 8.096" Properties=species:S:1:pos:R:3 pbc="T T T"
Tm 0.785 0.000 1.886
Tm 9.223 0.000 6.210
Sn 3.870 0.000 0.547
Sn 6.139 0.000 7.549
Bi 1.724 0.000 5.084
Bi 8.285 0.000 3.012
```

Computed properties:
The value obtained for the energy of formation is -338.4 meV per atom. The density of states at the Fermi level is 3.64 states/eV per cell.

The following is a DFT calculation (PBE) of a geometry-optimized Hg2OsO6 structure.

The structure in extended XYZ format:
```
18
Lattice="4.988 0.000 0.000 0.000 4.988 0.000 0.000 0.000 10.308" Properties=species:S:1:pos:R:3 pbc="T T T"
Hg 0.000 0.000 1.665
Hg 0.000 0.000 8.643
Hg 2.494 2.494 3.489
Hg 2.494 2.494 6.819
Os 0.000 0.000 5.154
Os 2.494 2.494 0.000
O 0.908 0.908 3.755
O 0.908 0.908 6.553
O 1.186 1.186 0.000
O 1.308 3.680 5.154
O 1.586 3.402 1.399
O 1.586 3.402 8.909
O 3.402 1.586 1.399
O 3.402 1.586 8.909
O 3.680 1.308 5.154
O 3.802 3.802 0.000
O 4.080 4.080 3.755
O 4.080 4.080 6.553
```

Computed properties:
The calculation puts the formation energy from raw total energies at -460 meV/atom. The density of states at the Fermi level is 7.32 states/eV per cell.

The following is a DFT calculation (PBE) of a geometry-optimized CuAg3S3 structure.

The structure in extended XYZ format:
```
7
Lattice="5.472 3.160 1.432 -5.472 3.160 1.432 0.000 -6.319 1.432" Properties=species:S:1:pos:R:3 pbc="T T T"
Cu 0.000 0.000 0.000
Ag 0.000 -3.553 2.217
Ag -3.077 1.776 2.217
Ag 3.077 1.776 2.217
S -3.543 -2.045 2.898
S 3.543 -2.045 2.898
S 0.000 4.091 2.898
```

Computed properties:
The calculation puts the formation energy from raw total energies at 61 meV/atom. The density of states at the Fermi level is 9.33 states/eV per cell.

The following is a DFT calculation (PBE) of a geometry-optimized BeAsP2 structure.

The structure in extended XYZ format:
```
4
Lattice="0.000 3.071 3.071 3.071 0.000 3.071 3.071 3.071 0.000" Properties=species:S:1:pos:R:3 pbc="T T T"
Be 0.000 0.000 0.000
As 4.607 4.607 4.607
P 1.536 1.536 1.536
P 3.071 3.071 3.071
```

Computed properties:
The value obtained for the energy of formation is 698.9 meV per atom. The density of states at the Fermi level is 1.60 states/eV per cell.

The following is a DFT calculation (PBE) of a geometry-optimized LaBiIO6 structure.

The structure in extended XYZ format:
```
18
Lattice="5.887 0.000 0.000 -2.944 5.099 0.000 0.000 0.000 9.468" Properties=species:S:1:pos:R:3 pbc="T T T"
La 0.000 3.399 2.367
La 2.944 1.700 7.101
Bi 0.000 0.000 0.000
Bi 0.000 0.000 4.734
I 0.000 3.399 7.101
I 2.944 1.700 2.367
O -0.794 1.908 5.983
O -1.688 3.457 8.220
O 0.794 1.908 8.220
O -0.895 4.832 5.983
O 2.049 0.267 1.248
O 1.255 1.641 3.486
O 1.688 3.457 5.983
O 0.895 4.832 8.220
O 3.838 0.267 3.486
O 2.150 3.191 1.248
O 4.632 1.641 1.248
O 3.737 3.191 3.486
```

Computed properties:
The calculation puts the formation energy from raw total energies at -1345 meV/atom. The density of states at the Fermi level is 7.17 states/eV per cell.

The following is a DFT calculation (PBE) of a geometry-optimized BaInBiSb structure.

The structure in extended XYZ format:
```
4
Lattice="7.260 -2.246 0.000 7.260 2.246 0.000 -1.713 0.000 4.704" Properties=species:S:1:pos:R:3 pbc="T T T"
Ba 0.000 0.000 0.000
In 10.698 0.000 1.266
Bi 8.229 0.000 3.032
Sb 5.202 0.000 1.909
```

Computed properties:
The calculation puts the formation energy from raw total energies at -437 meV/atom. The density of states at the Fermi level is 2.45 states/eV per cell.